Entry 1:
Material: Ba6HPd2
Method: DFT, PBE
State: relaxed

Summary:
Size of the total moment in μB/f.u.: 0.00
Calculated density in Mg/m³: 4.28
Total DFT energy (no corrections) in eV per atom: -3.15

Unit cell a=11.9948 b=11.9948 c=6.5258 alpha=105.33 beta=105.33 gamma=106.93
Closest atoms and distances in Å follow each position.
Sites, in units of the cell vectors:
Ba (0.0327, 0.2108, 0.6399)  1 H 2.67
Ba (0.1287, 0.6329, 0.8916)  1 H 2.66
Ba (0.2108, 0.0327, 0.1399)  1 H 2.67
Ba (0.3001, 0.4577, 0.3914)  4 Pd 3.26-3.29
Ba (0.3671, 0.8713, 0.6084)  1 H 2.66
Ba (0.4577, 0.3001, 0.8914)  4 Pd 3.26-3.29
Ba (0.5423, 0.6999, 0.1086)  4 Pd 3.26-3.29
Ba (0.6329, 0.1287, 0.3916)  1 H 2.66
Ba (0.6999, 0.5423, 0.6086)  4 Pd 3.26-3.29
Ba (0.7892, 0.9673, 0.8601)  1 H 2.67
Ba (0.8713, 0.3671, 0.1084)  1 H 2.66
Ba (0.9673, 0.7892, 0.3601)  1 H 2.67
H (0.1706, 0.8294, 0.2500)  4 Ba 2.66-2.67
H (0.8294, 0.1706, 0.7500)  4 Ba 2.66-2.67
Pd (0.2773, 0.4574, 0.8825)  6 Ba 3.13-3.29
Pd (0.4574, 0.2773, 0.3825)  6 Ba 3.13-3.29
Pd (0.5426, 0.7227, 0.6175)  6 Ba 3.13-3.29
Pd (0.7227, 0.5426, 0.1175)  6 Ba 3.13-3.29


Entry 2:
Material: UPdPt2
Method: DFT, PBE
State: relaxed

Summary:
Size of the total moment in μB/f.u.: 1.48
Calculated density in Mg/m³: 11.88
DFT formation energy in eV/atom: 0.2697

Unit cell a=4.8154 b=4.8154 c=5.1132 alpha=90.00 beta=90.00 gamma=120.00
Closest atoms and distances in Å follow each position.
Sites, in units of the cell vectors:
U (0.0000, 0.0000, 0.0000)  6 Pt 2.78
Pd (0.3333, 0.6667, 0.5000)  2 Pt 2.56
Pt (0.3333, 0.6667, 0.0000)  2 Pd 2.56, 3 U 2.78, 3 Pt 2.78
Pt (0.6667, 0.3333, 0.0000)  3 U 2.78, 3 Pt 2.78


Entry 3:
Material: KB2Cl
Method: DFT, PBE
State: relaxed

Summary:
Size of the total moment in μB/f.u.: 0.00
Calculated density in Mg/m³: 1.93
Total DFT energy (no corrections) in eV per atom: -2.20

Unit cell a=4.8890 b=4.8890 c=4.8890 alpha=60.00 beta=60.00 gamma=60.00
Closest atoms and distances in Å follow each position.
Sites, in units of the cell vectors:
K (0.0000, 0.0000, 0.0000)  8 B 2.99
B (0.2500, 0.2500, 0.2500)  4 Cl 2.99, 4 K 2.99
B (0.7500, 0.7500, 0.7500)  4 K 2.99, 4 Cl 2.99
Cl (0.5000, 0.5000, 0.5000)  8 B 2.99


Entry 4:
Material: PAuCCl2
Method: DFT, PBE
State: relaxed

Summary:
Size of the total moment in μB/f.u.: 0.02
Calculated density in Mg/m³: 5.36
Total DFT energy (no corrections) in eV per atom: -3.13

Unit cell a=5.3001 b=5.3001 c=3.4291 alpha=90.00 beta=90.00 gamma=90.00
Closest atoms and distances in Å follow each position.
Sites, in units of the cell vectors:
P (0.0000, 0.0000, 0.0000)  2 C 1.71
Au (0.5000, 0.5000, 0.0000)  8 Cl 3.16, 2 Au 3.43
C (0.0000, 0.0000, 0.5000)  2 P 1.71
Cl (0.0000, 0.5000, 0.5000)  2 C 2.65
Cl (0.5000, 0.0000, 0.5000)  2 C 2.65